[1]
# Ac6Rh2I3N | the Alexandria database | PBE-GGA | relaxed
# Formation energy from raw total energies   -1017.9 meV per atom
data_Ac6Rh2I3N
_symmetry_space_group_name_H-M 'C 1 2/m 1'
_symmetry_Int_Tables_number 12
_cell_length_a 7.3849
_cell_length_b 12.7982
_cell_length_c 8.9630
_cell_angle_alpha 90.00
_cell_angle_beta 105.95
_cell_angle_gamma 90.00
loop_
_symmetry_equiv_pos_as_xyz
'x,y,z'
'-x,-y,-z'
'-x,y,-z'
'x,-y,z'
'x+1/2,y+1/2,z'
'-x+1/2,-y+1/2,-z'
'-x+1/2,y+1/2,-z'
'x+1/2,-y+1/2,z'
loop_
_atom_site_label
_atom_site_type_symbol
_atom_site_fract_x
_atom_site_fract_y
_atom_site_fract_z
Ac1 Ac 0.2172 0.1574 0.1781
Ac2 Ac 0.2451 0.5000 0.1789
Rh1 Rh 0.0000 0.3337 0.0000
I1 I 0.0000 0.1709 0.5000
I2 I 0.0000 0.5000 0.5000
N1 N 0.0000 0.0000 0.0000

=====

[2]
# RbAlTlF6 | the Alexandria database | PBE-GGA | relaxed
# Formation energy from raw total energies   -2779.1 meV per atom
data_RbAlTlF6
_symmetry_space_group_name_H-M 'P 3 1 2'
_symmetry_Int_Tables_number 149
_cell_length_a 5.8685
_cell_length_b 5.8685
_cell_length_c 5.6816
_cell_angle_alpha 90.00
_cell_angle_beta 90.00
_cell_angle_gamma 120.00
loop_
_symmetry_equiv_pos_as_xyz
'x,y,z'
'-y,x-y,z'
'-x+y,-x,z'
'-y,-x,-z'
'-x+y,y,-z'
'x,x-y,-z'
loop_
_atom_site_label
_atom_site_type_symbol
_atom_site_fract_x
_atom_site_fract_y
_atom_site_fract_z
Rb1 Rb 0.0000 0.0000 0.0000
Al1 Al 0.6667 0.3333 0.5000
Tl1 Tl 0.3333 0.6667 0.5000
F1 F 0.4154 0.0720 0.6873

=====

[3]
# CaRe2As | the Alexandria database | PBE-GGA | relaxed
# Energy of formation from the pure elements   0.500 eV/atom
data_CaRe2As
_symmetry_space_group_name_H-M 'I m m 2'
_symmetry_Int_Tables_number 44
_cell_length_a 3.1669
_cell_length_b 5.1682
_cell_length_c 9.3375
_cell_angle_alpha 90.00
_cell_angle_beta 90.00
_cell_angle_gamma 90.00
loop_
_symmetry_equiv_pos_as_xyz
'x,y,z'
'-x,-y,z'
'-x,y,z'
'x,-y,z'
'x+1/2,y+1/2,z+1/2'
'-x+1/2,-y+1/2,z+1/2'
'-x+1/2,y+1/2,z+1/2'
'x+1/2,-y+1/2,z+1/2'
loop_
_atom_site_label
_atom_site_type_symbol
_atom_site_fract_x
_atom_site_fract_y
_atom_site_fract_z
Ca1 Ca 0.0000 0.0000 0.0000
Re1 Re 0.0000 0.0000 0.5026
Re2 Re 0.0000 0.5000 0.8018
As1 As 0.0000 0.5000 0.2282

=====

[4]
# Tb3Pt2Au | the Alexandria database | PBE-GGA | relaxed
# Energy of formation from the pure elements   -1.079 eV/atom
data_Tb3Pt2Au
_symmetry_space_group_name_H-M 'C m m m'
_symmetry_Int_Tables_number 65
_symmetry_space_group_name_Hall '-C 2 2'
_cell_length_a 5.0308
_cell_length_b 14.9759
_cell_length_c 3.5426
_cell_angle_alpha 90.00
_cell_angle_beta 90.00
_cell_angle_gamma 90.00
loop_
_atom_site_label
_atom_site_type_symbol
_atom_site_fract_x
_atom_site_fract_y
_atom_site_fract_z
Tb1 Tb 0.0000 0.0000 0.0000
Tb2 Tb 0.0000 0.3287 0.0000
Pt1 Pt 0.0000 0.1647 0.5000
Au1 Au 0.0000 0.5000 0.5000

=====

no.,E_tot (eV per atom)
1,-5.3787
2,-4.8129
3,-7.3868
4,-5.9539